# 1
# Tb2Dy3TmS6

A geometry-optimized Tb2Dy3TmS6 structure (PBE-GGA, the Alexandria database).

Summary:
- density of states at the Fermi level (states/eV/atom) = 0.4304
- ΔE_f (raw) (eV/atom) = -1.988
- V (A^3/atom) = 20.99
- raw total energy (eV for the cell shown) = -152.33

a = 16.987 Å, b = 3.893 Å, c = 7.833 Å
α = 90.00°, β = 103.43°, γ = 90.00°
Space group C2/m (No. 12)
One atom of each set of equivalent atoms:
1 Tb 0.167 0.000 0.335 x4
2 Dy 0.000 0.500 0.500 x2
3 Dy 0.168 0.000 0.833 x4
4 Tm 0.000 0.500 0.000 x2
5 S 0.001 0.000 0.755 x4
6 S 0.165 0.500 0.081 x4
7 S 0.166 0.500 0.584 x4

=====

# 2
# Ni14GeMo

A geometry-optimized Ni14GeMo structure (PBE-GGA, the Alexandria database).

Summary:
- density of states at the Fermi level (states/eV/atom) = 1.7344
- V (A^3/atom) = 11.28
- energy of formation (eV/atom) = -0.06
- raw total energy (eV for the cell shown) = -97.33

a = 5.062 Å, b = 5.062 Å, c = 7.046 Å
α = 90.00°, β = 90.00°, γ = 90.00°
Space group P4/mmm (No. 123)
One atom of each set of equivalent atoms:
1 Ni 0.000 0.000 0.000 x1
2 Ni 0.000 0.500 0.000 x2
3 Ni 0.000 0.500 0.500 x2
4 Ni 0.250 0.250 0.247 x8
5 Ni 0.500 0.500 0.000 x1
6 Ge 0.000 0.000 0.500 x1
7 Mo 0.500 0.500 0.500 x1

=====

# 3
# Th4BTe5

A geometry-optimized Th4BTe5 structure (PBE-GGA, the Alexandria database).

Summary:
- density of states at the Fermi level (states/eV/atom) = 0.3219
- ΔE_f (raw) (eV/atom) = -0.924
- V (A^3/atom) = 34.03
- raw total energy (eV for the cell shown) = -122.61

a = 18.949 Å, b = 4.292 Å, c = 8.582 Å
α = 90.00°, β = 102.81°, γ = 90.00°
Space group C2/m (No. 12)
One atom of each set of equivalent atoms:
1 Th 0.001 0.000 0.278 x4
2 Th 0.152 0.500 0.581 x4
3 B 0.000 0.500 0.500 x2
4 Te 0.000 0.500 0.000 x2
5 Te 0.168 0.000 0.848 x4
6 Te 0.172 0.000 0.320 x4

=====

Q: Which formula does entry 2 have?
A: Ni14GeMo